InFeMo2: relaxed, PBE-GGA.

Results
* formation enthalpy at 0 K: 0.41 eV/atom
* calculated total energy: -7.810 eV/atom
* D(E_F): 2.7 states/eV/cell

Lattice parameters (Å, degrees): 5.125 5.125 2.751 90.00 90.00 116.63
Last column: magnetic moment on the atom in μB.
Element x y z (fractional)
Fe  0.500  0.000  0.500  2.56
In  0.000  0.500  0.500  -0.01
Mo  0.000  0.000  0.000  -0.01
Mo  0.500  0.500  0.000  -0.01



InFeMo: relaxed, PBE-GGA.

Results
* formation enthalpy at 0 K: 0.37 eV/atom
* calculated total energy: -6.972 eV/atom
* offset from the most stable computed form: 3.68 kcal/mol of atoms
* D(E_F): 2.7 states/eV/cell

Lattice parameters (Å, degrees): 6.909 6.734 2.816 81.60 74.63 23.78
Last column: magnetic moment on the atom in μB.
Element x y z (fractional)
Fe  0.993  0.993  0.007  2.42
In  0.662  0.662  0.338  -0.02
Mo  0.345  0.345  0.655  -0.02



InFeMo2: relaxed, PBE-GGA.

Results
* formation enthalpy at 0 K: 0.44 eV/atom
* calculated total energy: -7.777 eV/atom
* D(E_F): 4.8 states/eV/cell

Lattice parameters (Å, degrees): 9.108 9.108 9.108 18.32 18.32 18.32
Last column: magnetic moment on the atom in μB.
Element x y z (fractional)
Fe  0.494  0.494  0.494  1.85
In  0.245  0.245  0.245  -0.02
Mo  0.004  0.004  0.004  -0.02
Mo  0.757  0.757  0.757  -0.18



- The highest D(E_F) belongs to which entry?
  number 3



- The lowest formation enthalpy at 0 K belongs to which entry?
  InFeMo